Cs2Si7Pt12 | PBE-GGA | relaxed

Cell lengths 3.935, 10.316, 10.316 Å; angles 120.00, 90.00, 90.00 degrees
Element x y z (fractional)
Pt (0.252, 0.946, 0.565)
Pt (0.757, 0.888, 0.748)
Pt (0.748, 0.054, 0.435)
Pt (0.757, 0.860, 0.112)
Pt (0.243, 0.112, 0.252)
Pt (0.243, 0.748, 0.860)
Pt (0.243, 0.140, 0.888)
Pt (0.252, 0.618, 0.054)
Pt (0.757, 0.252, 0.140)
Pt (0.252, 0.435, 0.382)
Pt (0.748, 0.565, 0.618)
Pt (0.748, 0.382, 0.946)
Si (0.251, 0.392, 0.103)
Si (0.749, 0.103, 0.711)
Si (0.749, 0.608, 0.897)
Si (0.251, 0.897, 0.289)
Si (0.251, 0.711, 0.608)
Si (0.749, 0.289, 0.392)
Si (0.500, 0.000, 0.000)
Cs (0.248, 0.333, 0.667)
Cs (0.752, 0.667, 0.333)

## Properties
Calculated density ... 12837 kg/m³
E_tot ... -121.48 eV for the cell shown